(1)
Density functional theory data (PBE) for an optimized crystal structure of NdAl4SiAu2.

Geometry as POSCAR:
```
NdAl4SiAu2
1.0
-2.2372 -0.7349 -5.6139
0.4765 -6.0392 0.6007
-7.6730 -0.2974 3.0967
Nd Si Al Au
2 2 8 4
direct
0.7500 0.2500 0.5000 Nd
0.2500 0.7500 0.5000 Nd
0.2500 0.2500 0.6465 Si
0.7500 0.7500 0.3535 Si
0.4990 0.0010 0.8208 Al
0.9990 0.9990 0.1792 Al
0.5010 0.5010 0.1792 Al
0.0010 0.0010 0.8208 Al
0.9990 0.5010 0.1792 Al
0.4990 0.4990 0.8208 Al
0.0010 0.4990 0.8208 Al
0.5010 0.9990 0.1792 Al
0.2500 0.7500 0.0000 Au
0.7500 0.7500 0.6507 Au
0.2500 0.2500 0.3493 Au
0.7500 0.2500 0.0000 Au
```

## Properties
Crystal system: tetragonal
Total energy: -72.60 eV per cell

(2)
Density functional theory data (PBE) for an optimized crystal structure of PuScPb.

Geometry as POSCAR:
```
PuScPb
1.0
4.0185 2.8968 0.5763
0.4046 2.9333 4.0130
3.3524 -1.0612 3.5366
Sc Pu Pb
1 1 1
direct
0.0000 0.0000 0.0000 Sc
0.7500 0.7500 0.7500 Pu
0.2500 0.2500 0.2500 Pb
```

## Properties
Energy above the most stable polymorph in this dataset: 0.00 eV per formula unit
Crystal system: cubic

(3)
Density functional theory data (PBE) for an optimized crystal structure of Sc2Ta4P3N3.

Geometry as POSCAR:
```
Sc2Ta4P3N3
1.0
4.9206 -2.8584 0.0000
4.9206 2.8584 0.0000
-3.2517 0.0000 11.5853
N P Ta Sc
6 6 8 4
direct
0.0000 0.5000 0.5000 N
0.5000 0.0000 0.0000 N
0.6600 0.1792 0.4997 N
0.1792 0.6600 0.9997 N
0.3400 0.8208 0.5003 N
0.8208 0.3400 0.0003 N
0.0729 0.9271 0.7500 P
0.7628 0.5817 0.7499 P
0.5817 0.7628 0.2499 P
0.2372 0.4183 0.2501 P
0.4183 0.2372 0.7501 P
0.9271 0.0729 0.2500 P
0.1308 0.3017 0.9038 Ta
0.1946 0.0360 0.0961 Ta
0.6983 0.8692 0.5962 Ta
0.8054 0.9640 0.9039 Ta
0.0360 0.1946 0.5961 Ta
0.3017 0.1308 0.4038 Ta
0.8692 0.6983 0.0962 Ta
0.9640 0.8054 0.4039 Ta
0.4654 0.6306 0.8951 Sc
0.6306 0.4654 0.3951 Sc
0.5346 0.3694 0.1049 Sc
0.3694 0.5346 0.6049 Sc
```

## Properties
Crystal system: monoclinic
Total energy: -229.01 eV per cell

The records above yield volume values of 307, 88, 326 Å³/cell, respectively.